A plane-wave DFT calculation with PBE was carried out for a relaxed structure of NdGd2Hf.

Unit cell a=4.935 b=4.891 c=4.891 alpha=90.00 beta=90.00 gamma=90.00
Atoms (fractional coordinates):
1 Hf 0.500 0.000 0.000
2 Nd 0.500 0.500 0.500
3 Gd 0.000 0.500 0.000
4 Gd 0.000 0.000 0.500

Summary:
* space-group type: P4/mmm (123)
* DOS at the Fermi energy: 1.219 states/eV per atom
* energy relative to the elements: 166 meV/atom
* energy above the most stable polymorph in this dataset: 0.053 eV/atom

***

A plane-wave DFT calculation with PBE was carried out for a relaxed structure of DyTm6Tl4.

Unit cell a=9.446 b=9.446 c=9.446 alpha=56.08 beta=141.17 gamma=141.17
Atoms (fractional coordinates):
1 Tl 0.000 0.108 0.621
2 Tm 0.500 0.500 0.000
3 Tl 0.487 0.379 0.379
4 Dy 0.000 0.000 0.000
5 Tm 0.471 0.555 0.555
6 Tl 0.000 0.621 0.108
7 Tm 0.000 0.916 0.445
8 Tl 0.513 0.892 0.892
9 Tm 0.500 0.000 0.500
10 Tm 0.529 0.084 0.084
11 Tm 0.000 0.445 0.916

Summary:
* space-group type: I-42m (121)
* DOS at the Fermi energy: 0.993 states/eV per atom
* energy relative to the elements: -93 meV/atom

***

A plane-wave DFT calculation with PBE was carried out for a relaxed structure of CdW2Se.

Unit cell a=4.778 b=4.778 c=5.648 alpha=78.04 beta=78.04 gamma=38.77
Atoms (fractional coordinates):
1 Se 0.263 0.263 0.174
2 W 0.736 0.736 0.821
3 W 0.010 0.010 0.985
4 Cd 0.491 0.491 0.520

Summary:
* space-group type: Cm (8)
* DOS at the Fermi energy: 0.969 states/eV per atom
* E_form (uncorrected): 0.666 eV/atom
* energy above the most stable polymorph in this dataset: 0.351 eV/atom